#P
## CaHfP2 (GGA-PBE)

Data for CaHfP2 after structural relaxation.

abc: 3.8086 3.8086 20.3395
angles: 90.00 90.00 120.00
With the nearest neighbours (Å) after each atom.
Space group R3m (No. 160, hexagonal axes)
Inequivalent atoms, fractional coordinates:
Ca 0.0000 0.0000 0.0000 x3  6 P 2.87-2.95
Hf 0.0000 0.0000 0.1713 x3  6 P 2.64-2.67
P 0.0000 0.0000 0.5761 x3  3 Hf 2.64, 3 Ca 2.87
P 0.0000 0.0000 0.7636 x3  3 Hf 2.67, 3 Ca 2.95

#Q
## CaHfP2 (GGA-PBE)

Data for CaHfP2 after structural relaxation.

abc: 6.9126 6.9126 8.6070
angles: 90.00 90.00 90.00
With the nearest neighbours (Å) after each atom.
Space group I-42d (No. 122)
Inequivalent atoms, fractional coordinates:
Ca 0.0000 0.0000 0.0000 x4  4 P 2.85
Hf 0.0000 0.0000 0.5000 x4  4 P 2.50
P 0.2106 0.7500 0.6250 x8  2 Hf 2.50

#R
## CaHfP2 (GGA-PBE)

Data for CaHfP2 after structural relaxation.

abc: 6.7174 6.7174 6.7174
angles: 90.00 90.00 90.00
With the nearest neighbours (Å) after each atom.
Space group Fm-3m (No. 225)
Inequivalent atoms, fractional coordinates:
Ca 0.0000 0.0000 0.0000 x4  8 P 2.91
Hf 0.0000 0.0000 0.5000 x4  8 P 2.91
P 0.2500 0.2500 0.2500 x8  4 Hf 2.91, 4 Ca 2.91

#S
## CaHfP2 (GGA-PBE)

Data for CaHfP2 after structural relaxation.

abc: 3.8299 3.8299 19.7819
angles: 90.00 90.00 120.00
With the nearest neighbours (Å) after each atom.
Space group R-3m (No. 166, hexagonal axes)
Inequivalent atoms, fractional coordinates:
Ca 0.0000 0.0000 0.0000 x3  6 P 2.87
Hf 0.0000 0.0000 0.5000 x3  6 P 2.65
P 0.0000 0.0000 0.2407 x6  3 Hf 2.65, 3 Ca 2.87

Which is the most stable structure? #S is the most stable.

#P
## CaHfP3 (GGA-PBE)

Data for CaHfP3 after structural relaxation.

abc: 4.9779 4.9779 4.9779
angles: 90.00 90.00 90.00
With the nearest neighbours (Å) after each atom.
Space group Pm-3m (No. 221)
Inequivalent atoms, fractional coordinates:
Ca 0.0000 0.0000 0.0000 x1  12 P 3.52
Hf 0.5000 0.5000 0.5000 x1  6 P 2.49
P 0.0000 0.5000 0.5000 x3  2 Hf 2.49

#Q
## CaHfP3 (GGA-PBE)

Data for CaHfP3 after structural relaxation.

abc: 4.9091 4.9091 4.9091
angles: 90.00 90.00 90.00
With the nearest neighbours (Å) after each atom.
Space group Pm-3m (No. 221)
Inequivalent atoms, fractional coordinates:
Ca 0.0000 0.0000 0.0000 x1  6 P 2.45
Hf 0.5000 0.5000 0.5000 x1  12 P 3.47
P 0.0000 0.0000 0.5000 x3  2 Ca 2.45

Which is the most stable structure? #P is the most stable.

#P
## CaHfPS2 (GGA-PBE)

Data for CaHfPS2 after structural relaxation.

abc: 4.9300 4.9300 5.0261
angles: 90.00 90.00 90.00
With the nearest neighbours (Å) after each atom.
Space group P4/mmm (No. 123)
Inequivalent atoms, fractional coordinates:
Ca 0.0000 0.0000 0.0000 x1  4 P 3.49, 8 S 3.52
Hf 0.5000 0.5000 0.5000 x1  4 S 2.47, 2 P 2.51
P 0.5000 0.5000 0.0000 x1  2 Hf 2.51
S 0.0000 0.5000 0.5000 x2  2 Hf 2.47

#Q
## CaHfPS2 (GGA-PBE)

Data for CaHfPS2 after structural relaxation.

abc: 4.9201 4.9201 5.0208
angles: 90.00 90.00 90.00
With the nearest neighbours (Å) after each atom.
Space group P4/mmm (No. 123)
Inequivalent atoms, fractional coordinates:
Ca 0.0000 0.0000 0.0000 x1  4 S 2.46, 2 P 2.51
Hf 0.5000 0.5000 0.5000 x1  4 P 3.48, 8 S 3.51
P 0.0000 0.0000 0.5000 x1  2 Ca 2.51
S 0.0000 0.5000 0.0000 x2  2 Ca 2.46

Which is the most stable structure? #P is the most stable.